# 1
## TlCu2Cl (GGA-PBE)

Data for a relaxed structure of TlCu2Cl.

Summary:
Mass density   7.622 g/cm3
Raw formation energy   0.150 eV/atom
Magnetic moment   0.0 μB per formula unit
Energy relative to the lowest polymorph listed for this composition   156 meV/atom
Space group   Cmmm (65)

Unit cell a=3.4880 b=3.4880 c=7.8763 alpha=90.00 beta=90.00 gamma=123.47
Positions (direct):
Tl  0.0000  0.0000  0.0000
Cu  0.5000  0.5000  0.2700
Cu  0.5000  0.5000  0.7300
Cl  0.0000  0.0000  0.5000

***

# 2
## TlCu2Cl (GGA-PBE)

Data for a relaxed structure of TlCu2Cl.

Summary:
Mass density   8.073 g/cm3
Raw formation energy   0.309 eV/atom
Magnetic moment   0.0 μB per formula unit
Energy relative to the lowest polymorph listed for this composition   315 meV/atom
Space group   Cmmm (65)

Unit cell a=4.8062 b=4.8062 c=3.3927 alpha=90.00 beta=90.00 gamma=105.64
Positions (direct):
Tl  0.0000  0.0000  0.0000
Cu  0.0000  0.5000  0.5000
Cu  0.5000  0.0000  0.5000
Cl  0.5000  0.5000  0.0000

***

# 3
## TlCuCl2 (GGA-PBE)

Data for a relaxed structure of TlCuCl2.

Summary:
Mass density   4.542 g/cm3
Raw formation energy   -0.649 eV/atom
Magnetic moment   0.0 μB per formula unit
Energy relative to the lowest polymorph listed for this composition   73 meV/atom
Space group   Imm2 (44)

Unit cell a=6.2279 b=6.2279 c=6.2279 alpha=142.86 beta=120.03 gamma=72.68
Positions (direct):
Tl  0.0000  0.0000  0.0000
Cu  0.4370  0.9370  0.5000
Cl  0.2141  0.7141  0.5000
Cl  0.5403  0.5403  0.0000

***

# 4
## TlCuCl6 (GGA-PBE)

Data for a relaxed structure of TlCuCl6.

Summary:
Mass density   2.672 g/cm3
Raw formation energy   -0.375 eV/atom
Magnetic moment   1.3 μB per formula unit
Energy relative to the lowest polymorph listed for this composition   77 meV/atom
Space group   C2/m (12)

Unit cell a=6.6019 b=6.6019 c=7.5622 alpha=99.96 beta=99.96 gamma=108.45
Positions (direct):
Tl  0.0000  0.0000  0.0000
Cu  0.0000  0.0000  0.5000
Cl  0.1506  0.8392  0.7024
Cl  0.1608  0.8494  0.2976
Cl  0.4677  0.4677  0.1181
Cl  0.5323  0.5323  0.8819
Cl  0.8392  0.1506  0.7024
Cl  0.8494  0.1608  0.2976

***

# 5
## TlCu2Cl (GGA-PBE)

Data for a relaxed structure of TlCu2Cl.

Summary:
Mass density   7.660 g/cm3
Raw formation energy   0.233 eV/atom
Magnetic moment   0.0 μB per formula unit
Energy relative to the lowest polymorph listed for this composition   239 meV/atom
Space group   C2/m (12)

Unit cell a=5.4789 b=5.4789 c=3.5777 alpha=108.40 beta=108.40 gamma=114.34
Positions (direct):
Tl  0.0000  0.0000  0.0000
Cu  0.0000  0.5000  0.0000
Cu  0.5000  0.0000  0.0000
Cl  0.5000  0.5000  0.0000

***

# 6
## Tl2CuCl (GGA-PBE)

Data for a relaxed structure of Tl2CuCl.

Summary:
Mass density   8.223 g/cm3
Raw formation energy   -0.117 eV/atom
Magnetic moment   0.0 μB per formula unit
Energy relative to the lowest polymorph listed for this composition   71 meV/atom
Space group   Cmm2 (35)

Unit cell a=3.5170 b=3.5170 c=9.1355 alpha=90.00 beta=90.00 gamma=114.85
Positions (direct):
Tl  0.0000  0.0000  0.0000
Tl  0.5000  0.5000  0.3077
Cu  0.5000  0.5000  0.7771
Cl  0.0000  0.0000  0.6316

***

# 7
## Tl2CuCl3 (GGA-PBE)

Data for a relaxed structure of Tl2CuCl3.

Summary:
Mass density   5.422 g/cm3
Raw formation energy   -0.816 eV/atom
Magnetic moment   0.0 μB per formula unit
Energy relative to the lowest polymorph listed for this composition   0 meV/atom
Space group   Pnma (62)

Unit cell a=9.2764 b=4.3517 c=17.5614 alpha=90.00 beta=90.00 gamma=90.00
Positions (direct):
Tl  0.1117  0.2500  0.2090
Tl  0.2140  0.7500  0.4531
Tl  0.2860  0.2500  0.9531
Tl  0.3883  0.7500  0.7090
Tl  0.6117  0.2500  0.2910
Tl  0.7140  0.7500  0.0469
Tl  0.7860  0.2500  0.5469
Tl  0.8883  0.7500  0.7910
Cu  0.1698  0.2500  0.6463
Cu  0.3302  0.7500  0.1463
Cu  0.6698  0.2500  0.8537
Cu  0.8302  0.7500  0.3537
Cl  0.0290  0.7500  0.6078
Cl  0.1436  0.2500  0.7730
Cl  0.1512  0.7500  0.0614
Cl  0.3488  0.2500  0.5614
Cl  0.3564  0.7500  0.2730
Cl  0.4710  0.2500  0.1078
Cl  0.5290  0.7500  0.8922
Cl  0.6436  0.2500  0.7270
Cl  0.6512  0.7500  0.4386
Cl  0.8488  0.2500  0.9386
Cl  0.8564  0.7500  0.2270
Cl  0.9710  0.2500  0.3922

***

# 8
## TlCu2Cl (GGA-PBE)

Data for a relaxed structure of TlCu2Cl.

Summary:
Mass density   7.792 g/cm3
Raw formation energy   0.157 eV/atom
Magnetic moment   0.0 μB per formula unit
Energy relative to the lowest polymorph listed for this composition   163 meV/atom
Space group   I-42d (122)

Unit cell a=5.8866 b=5.8866 c=5.8866 alpha=107.41 beta=107.41 gamma=113.67
Positions (direct):
Tl  0.0000  0.0000  0.0000
Tl  0.7500  0.2500  0.5000
Cu  0.1594  0.6250  0.0344
Cu  0.3750  0.4094  0.5344
Cu  0.5906  0.1250  0.9656
Cu  0.8750  0.8406  0.4656
Cl  0.2500  0.7500  0.5000
Cl  0.5000  0.5000  0.0000